! PmSc4Cd | Alexandria | GGA-PBE | optimized geometry; values from VASP
&SYSTEM
  ibrav = 0, nat = 6, ntyp = 3
/
ATOMIC_SPECIES
Sc 44.96 Sc.upf
Cd 112.41 Cd.upf
Pm 145.00 Pm.upf
CELL_PARAMETERS angstrom
-3.3379 -3.7128 0.5154
2.6407 -5.8129 -0.3330
-2.4310 -0.4303 5.5963
ATOMIC_POSITIONS crystal
Sc 0.3530 0.2969 0.9972
Sc 0.1377 0.1657 0.5589
Sc 0.6470 0.7031 0.0028
Sc 0.8623 0.8343 0.4411
Cd 0.0000 0.0000 0.0000
Pm 0.5000 0.5000 0.5000
! - calculated total energy (eV/f.u.) = -31.29
! - formation energy from the elements (eV/f.u.) = -0.303